This record from Alexandria via LeMat-Bulk describes an optimized crystal structure of CaMn3As. The functional is PBEsol.

Calculated values
Theoretical density, g/cm3: 4.72
Density of states at the Fermi level, states/eV/atom: 1.26
E_form, eV per atom: 0.481

a = 4.6187 Å, b = 4.6187 Å, c = 4.6187 Å
α = 90.00°, β = 90.00°, γ = 90.00°
Fractional positions:
As 0.0000 0.0000 0.0000
Mn 0.0000 0.5000 0.0000
Mn 0.0000 0.0000 0.5000
Mn 0.5000 0.0000 0.0000
Ca 0.5000 0.5000 0.5000

This record from Alexandria via LeMat-Bulk describes an optimized crystal structure of BeZnTe2. The functional is PBEsol.

Calculated values
Theoretical density, g/cm3: 6.24
Density of states at the Fermi level, states/eV/atom: 0.33
Distance to the lowest polymorph of the same formula, meV per atom: 649

a = 3.1906 Å, b = 5.3976 Å, c = 5.3976 Å
α = 90.37°, β = 103.61°, γ = 76.39°
Fractional positions:
Be 0.0000 0.0000 0.0000
Zn 0.0000 0.5000 0.5000
Te 0.0000 0.5000 0.0000
Te 0.0000 0.0000 0.5000